# Zr2ZnIr

A relaxed structure of Zr2ZnIr (PBE, Alexandria).

Cell and atoms, written as CIF:
```
data_Zr2ZnIr
_chemical_formula_sum 'Zr4 Zn2 Ir2'
_symmetry_space_group_name_H-M 'I m m 2'
_symmetry_Int_Tables_number 44
_symmetry_space_group_name_Hall 'I 2 -2'
_cell_length_a 3.3029
_cell_length_b 4.6091
_cell_length_c 9.8463
_cell_angle_alpha 90.00
_cell_angle_beta 90.00
_cell_angle_gamma 90.00
loop_
_atom_site_label
_atom_site_fract_x
_atom_site_fract_y
_atom_site_fract_z
Zr1 0.0000 0.0000 0.0000
Zr2 0.0000 0.5000 0.2270
Zn1 0.0000 0.5000 0.7824
Ir1 0.0000 0.0000 0.5012
```

Theoretical density   9.75 Mg/m³
Size of the total moment   0.00 μB/f.u.
Calculated formation energy   -0.4325 eV/atom